No. 1
VASP calculation (PBE+U) on crystalline NiRu2PbO8 at its relaxed geometry.

Unit cell a=5.721 b=5.721 c=6.850 alpha=90.00 beta=90.00 gamma=120.00
Fractional positions:
Ni: 0.000 0.000 0.000
Ru: 0.333 0.667 0.254
Ru: 0.667 0.333 0.746
Pb: 0.000 0.000 0.500
O: 0.125 0.314 0.193
O: 0.189 0.875 0.193
O: 0.314 0.189 0.807
O: 0.333 0.667 0.513
O: 0.667 0.333 0.487
O: 0.686 0.811 0.193
O: 0.811 0.125 0.807
O: 0.875 0.686 0.807

The space group is No. 147. The total magnetization is 0.4941 μB/atom. For the energy, the calculation gives -74.03 eV for the cell shown.

No. 2
VASP calculation (PBE+U) on crystalline NiRu2PbO at its relaxed geometry.

Unit cell a=5.132 b=5.132 c=4.224 alpha=90.00 beta=90.00 gamma=90.00
Fractional positions:
Ni: 0.000 0.000 0.000
Ru: 0.000 0.500 0.500
Ru: 0.500 0.000 0.500
Pb: 0.500 0.500 0.500
O: 0.500 0.500 0.000

The space group is No. 123. The total magnetization is 1.0114 μB/atom. For the energy, the calculation gives -20.63 eV for the cell shown.

No. 3
VASP calculation (PBE+U) on crystalline NiPbS2O8 at its relaxed geometry.

Unit cell a=4.899 b=4.899 c=7.525 alpha=92.65 beta=92.65 gamma=64.65
Fractional positions:
Ni: 0.000 0.000 0.000
Pb: 0.000 0.000 0.500
S: 0.364 0.364 0.217
S: 0.636 0.636 0.783
O: 0.236 0.703 0.204
O: 0.240 0.240 0.072
O: 0.297 0.764 0.796
O: 0.301 0.301 0.399
O: 0.699 0.699 0.601
O: 0.703 0.236 0.204
O: 0.760 0.760 0.928
O: 0.764 0.297 0.796

The space group is No. 12. The total magnetization is 0.1652 μB/atom. For the energy, the calculation gives -70.86 eV for the cell shown.

No. 4
VASP calculation (PBE+U) on crystalline NiPbS2O6 at its relaxed geometry.

Unit cell a=6.942 b=6.942 c=6.942 alpha=42.33 beta=42.33 gamma=42.33
Fractional positions:
Ni: 0.000 0.000 0.000
Pb: 0.500 0.500 0.500
S: 0.238 0.238 0.238
S: 0.762 0.762 0.762
O: 0.004 0.433 0.761
O: 0.239 0.996 0.567
O: 0.433 0.761 0.004
O: 0.567 0.239 0.996
O: 0.761 0.004 0.433
O: 0.996 0.567 0.239

The space group is No. 148. The total magnetization is 0.2002 μB/atom. For the energy, the calculation gives -55.45 eV for the cell shown.

No. 5
VASP calculation (PBE+U) on crystalline Ni2SbPbO6 at its relaxed geometry.

Unit cell a=5.762 b=5.762 c=5.762 alpha=55.81 beta=55.81 gamma=55.81
Fractional positions:
Ni: 0.000 0.000 0.000
Ni: 0.490 0.490 0.490
Sb: 0.694 0.694 0.694
Pb: 0.212 0.212 0.212
O: 0.084 0.415 0.769
O: 0.297 0.859 0.642
O: 0.415 0.769 0.084
O: 0.642 0.297 0.859
O: 0.769 0.084 0.415
O: 0.859 0.642 0.297

The space group is No. 146. The total magnetization is 0.3888 μB/atom. For the energy, the calculation gives -54.14 eV for the cell shown.

No. 6
VASP calculation (PBE+U) on crystalline NiSb2PbO at its relaxed geometry.

Unit cell a=4.681 b=4.681 c=5.468 alpha=90.00 beta=90.00 gamma=90.00
Fractional positions:
Ni: 0.000 0.000 0.000
Sb: 0.000 0.500 0.000
Sb: 0.500 0.000 0.000
Pb: 0.000 0.000 0.500
O: 0.500 0.500 0.500

The space group is No. 123. The total magnetization is 0.0000 μB/atom. For the energy, the calculation gives -16.11 eV for the cell shown.

No. 7
VASP calculation (PBE+U) on crystalline NiSbPb2O6 at its relaxed geometry.

Unit cell a=5.661 b=5.767 c=9.811 alpha=90.00 beta=125.07 gamma=90.00
Fractional positions:
Ni: 0.000 0.000 0.000
Ni: 0.000 0.500 0.500
Sb: 0.500 0.000 0.500
Sb: 0.500 0.500 0.000
Pb: 0.241 0.042 0.748
Pb: 0.241 0.458 0.248
Pb: 0.759 0.542 0.752
Pb: 0.759 0.958 0.252
O: 0.173 0.200 0.461
O: 0.173 0.300 0.961
O: 0.258 0.715 0.457
O: 0.258 0.785 0.957
O: 0.338 0.025 0.255
O: 0.338 0.475 0.755
O: 0.662 0.525 0.245
O: 0.662 0.975 0.745
O: 0.742 0.215 0.043
O: 0.742 0.285 0.543
O: 0.827 0.700 0.039
O: 0.827 0.800 0.539

The space group is No. 14. The total magnetization is 0.1979 μB/atom. For the energy, the calculation gives -110.34 eV for the cell shown.

No. 8
VASP calculation (PBE+U) on crystalline NiPbSe2O at its relaxed geometry.

Unit cell a=4.283 b=4.283 c=4.830 alpha=90.00 beta=90.00 gamma=90.00
Fractional positions:
Ni: 0.000 0.000 0.000
Pb: 0.500 0.500 0.000
Se: 0.000 0.500 0.500
Se: 0.500 0.000 0.500
O: 0.500 0.500 0.500

The space group is No. 123. The total magnetization is 0.0000 μB/atom. For the energy, the calculation gives -14.88 eV for the cell shown.

No. 9
VASP calculation (PBE+U) on crystalline NiPbSe2O8 at its relaxed geometry.

Unit cell a=7.989 b=7.989 c=7.989 alpha=36.49 beta=36.49 gamma=36.49
Fractional positions:
Ni: 0.000 0.000 0.000
Pb: 0.500 0.500 0.500
Se: 0.257 0.257 0.257
Se: 0.743 0.743 0.743
O: 0.042 0.730 0.396
O: 0.181 0.181 0.181
O: 0.270 0.604 0.958
O: 0.396 0.042 0.730
O: 0.604 0.958 0.270
O: 0.730 0.396 0.042
O: 0.819 0.819 0.819
O: 0.958 0.270 0.604

The space group is No. 148. The total magnetization is 0.1573 μB/atom. For the energy, the calculation gives -62.82 eV for the cell shown.

No. 10
VASP calculation (PBE+U) on crystalline Ni2PbSeO at its relaxed geometry.

Unit cell a=3.976 b=3.976 c=6.590 alpha=90.00 beta=90.00 gamma=90.00
Fractional positions:
Ni: 0.000 0.500 0.000
Ni: 0.500 0.000 0.000
Pb: 0.000 0.000 0.500
Se: 0.500 0.500 0.500
O: 0.500 0.500 0.000

The space group is No. 123. The total magnetization is 0.4031 μB/atom. For the energy, the calculation gives -16.94 eV for the cell shown.

No. 11
VASP calculation (PBE+U) on crystalline NiPb2Se2O6 at its relaxed geometry.

Unit cell a=6.404 b=6.404 c=5.763 alpha=109.80 beta=109.80 gamma=60.65
Fractional positions:
Ni: 0.000 0.000 0.000
Pb: 0.165 0.165 0.668
Pb: 0.835 0.835 0.332
Se: 0.476 0.476 0.229
Se: 0.524 0.524 0.771
O: 0.182 0.793 0.239
O: 0.207 0.818 0.761
O: 0.308 0.308 0.129
O: 0.692 0.692 0.871
O: 0.793 0.182 0.239
O: 0.818 0.207 0.761

The space group is No. 12. The total magnetization is 0.0004 μB/atom. For the energy, the calculation gives -55.12 eV for the cell shown.

No. 12
VASP calculation (PBE+U) on crystalline Sm2NiPbO6 at its relaxed geometry.

Unit cell a=5.567 b=5.885 c=9.741 alpha=90.00 beta=123.46 gamma=90.00
Fractional positions:
Sm: 0.223 0.067 0.248
Sm: 0.223 0.433 0.748
Sm: 0.777 0.567 0.252
Sm: 0.777 0.933 0.752
Ni: 0.000 0.000 0.500
Ni: 0.000 0.500 0.000
Pb: 0.500 0.000 0.000
Pb: 0.500 0.500 0.500
O: 0.119 0.199 0.934
O: 0.119 0.301 0.434
O: 0.232 0.692 0.931
O: 0.232 0.808 0.431
O: 0.374 0.054 0.744
O: 0.374 0.446 0.244
O: 0.626 0.554 0.756
O: 0.626 0.946 0.256
O: 0.768 0.192 0.569
O: 0.768 0.308 0.069
O: 0.881 0.699 0.566
O: 0.881 0.801 0.066

The space group is No. 14. The total magnetization is 0.2000 μB/atom. For the energy, the calculation gives -134.56 eV for the cell shown.

No. 13
VASP calculation (PBE+U) on crystalline TaNiPb2O at its relaxed geometry.

Unit cell a=4.982 b=4.982 c=4.535 alpha=90.00 beta=90.00 gamma=90.00
Fractional positions:
Ta: 0.000 0.000 0.000
Ni: 0.000 0.000 0.500
Pb: 0.000 0.500 0.500
Pb: 0.500 0.000 0.500
O: 0.500 0.500 0.000

The space group is No. 123. The total magnetization is 0.0650 μB/atom. For the energy, the calculation gives -20.77 eV for the cell shown.

No. 14
VASP calculation (PBE+U) on crystalline TbNi2PbO6 at its relaxed geometry.

Unit cell a=5.612 b=5.612 c=5.612 alpha=57.87 beta=57.87 gamma=57.87
Fractional positions:
Tb: 0.000 0.000 0.000
Ni: 0.278 0.278 0.278
Ni: 0.778 0.778 0.778
Pb: 0.490 0.490 0.490
O: 0.056 0.632 0.430
O: 0.146 0.556 0.912
O: 0.430 0.056 0.632
O: 0.556 0.912 0.146
O: 0.632 0.430 0.056
O: 0.912 0.146 0.556

The space group is No. 146. The total magnetization is 0.3000 μB/atom. For the energy, the calculation gives -58.42 eV for the cell shown.

No. 15
VASP calculation (PBE+U) on crystalline NiTePbO4 at its relaxed geometry.

Unit cell a=6.056 b=6.796 c=6.633 alpha=90.00 beta=106.21 gamma=90.00
Fractional positions:
Ni: 0.105 0.250 0.448
Ni: 0.895 0.750 0.552
Te: 0.211 0.750 0.285
Te: 0.789 0.250 0.715
Pb: 0.415 0.250 0.120
Pb: 0.585 0.750 0.880
O: 0.115 0.250 0.758
O: 0.220 0.055 0.285
O: 0.220 0.445 0.285
O: 0.237 0.750 0.579
O: 0.763 0.250 0.421
O: 0.780 0.555 0.715
O: 0.780 0.945 0.715
O: 0.885 0.750 0.242

The space group is No. 11. The total magnetization is 0.2857 μB/atom. For the energy, the calculation gives -72.35 eV for the cell shown.

No. 16
VASP calculation (PBE+U) on crystalline Ni9Te5Pb6O30 at its relaxed geometry.

Unit cell a=10.443 b=10.443 c=13.704 alpha=90.00 beta=90.00 gamma=120.00
Fractional positions:
Ni: 0.000 0.000 0.250
Ni: 0.000 0.000 0.750
Ni: 0.005 0.503 0.250
Ni: 0.169 0.337 0.250
Ni: 0.169 0.831 0.250
Ni: 0.333 0.667 0.612
Ni: 0.333 0.667 0.888
Ni: 0.337 0.169 0.750
Ni: 0.497 0.503 0.250
Ni: 0.497 0.995 0.250
Ni: 0.503 0.005 0.750
Ni: 0.503 0.497 0.750
Ni: 0.663 0.831 0.250
Ni: 0.667 0.333 0.112
Ni: 0.667 0.333 0.388
Ni: 0.831 0.169 0.750
Ni: 0.831 0.663 0.750
Ni: 0.995 0.497 0.750
Te: 0.167 0.335 0.750
Te: 0.167 0.833 0.750
Te: 0.333 0.667 0.099
Te: 0.333 0.667 0.401
Te: 0.335 0.167 0.250
Te: 0.665 0.833 0.750
Te: 0.667 0.333 0.599
Te: 0.667 0.333 0.901
Te: 0.833 0.167 0.250
Te: 0.833 0.665 0.250
Pb: 0.000 0.265 0.000
Pb: 0.000 0.388 0.500
Pb: 0.000 0.612 0.000
Pb: 0.000 0.735 0.500
Pb: 0.265 0.000 0.000
Pb: 0.265 0.265 0.500
Pb: 0.388 0.000 0.500
Pb: 0.388 0.388 0.000
Pb: 0.612 0.000 0.000
Pb: 0.612 0.612 0.500
Pb: 0.735 0.000 0.500
Pb: 0.735 0.735 0.000
O: 0.008 0.335 0.828
O: 0.008 0.673 0.672
O: 0.011 0.178 0.671
O: 0.011 0.833 0.829
O: 0.157 0.484 0.669
O: 0.157 0.673 0.831
O: 0.167 0.178 0.829
O: 0.167 0.989 0.671
O: 0.170 0.501 0.337
O: 0.170 0.669 0.163
O: 0.178 0.011 0.329
O: 0.178 0.167 0.171
O: 0.180 0.527 0.002
O: 0.180 0.654 0.498
O: 0.327 0.335 0.672
O: 0.327 0.484 0.831
O: 0.327 0.843 0.669
O: 0.327 0.992 0.828
O: 0.331 0.501 0.163
O: 0.331 0.830 0.337
O: 0.335 0.008 0.172
O: 0.335 0.327 0.328
O: 0.346 0.527 0.498
O: 0.346 0.820 0.002
O: 0.473 0.654 0.002
O: 0.473 0.820 0.498
O: 0.484 0.157 0.331
O: 0.484 0.327 0.169
O: 0.499 0.669 0.337
O: 0.499 0.830 0.163
O: 0.501 0.170 0.663
O: 0.501 0.331 0.837
O: 0.516 0.673 0.669
O: 0.516 0.843 0.831
O: 0.527 0.180 0.998
O: 0.527 0.346 0.502
O: 0.654 0.180 0.502
O: 0.654 0.473 0.998
O: 0.665 0.673 0.828
O: 0.665 0.992 0.672
O: 0.669 0.170 0.837
O: 0.669 0.499 0.663
O: 0.673 0.008 0.328
O: 0.673 0.157 0.169
O: 0.673 0.516 0.331
O: 0.673 0.665 0.172
O: 0.820 0.346 0.998
O: 0.820 0.473 0.502
O: 0.822 0.833 0.671
O: 0.822 0.989 0.829
O: 0.830 0.331 0.663
O: 0.830 0.499 0.837
O: 0.833 0.011 0.171
O: 0.833 0.822 0.329
O: 0.843 0.327 0.331
O: 0.843 0.516 0.169
O: 0.989 0.167 0.329
O: 0.989 0.822 0.171
O: 0.992 0.327 0.172
O: 0.992 0.665 0.328

The space group is No. 182. The total magnetization is 0.3600 μB/atom. For the energy, the calculation gives -533.09 eV for the cell shown.

No. 17
VASP calculation (PBE+U) on crystalline NiTePb2O at its relaxed geometry.

Unit cell a=5.512 b=5.512 c=3.738 alpha=90.00 beta=90.00 gamma=90.00
Fractional positions:
Ni: 0.000 0.000 0.000
Te: 0.500 0.500 0.500
Pb: 0.000 0.500 0.000
Pb: 0.500 0.000 0.000
O: 0.000 0.000 0.500

The space group is No. 123. The total magnetization is 0.0452 μB/atom. For the energy, the calculation gives -18.72 eV for the cell shown.

No. 18
VASP calculation (PBE+U) on crystalline Ni2TePbO6 at its relaxed geometry.

Unit cell a=5.873 b=5.873 c=5.873 alpha=54.95 beta=54.95 gamma=54.95
Fractional positions:
Ni: 0.000 0.000 0.000
Ni: 0.486 0.486 0.486
Te: 0.686 0.686 0.686
Pb: 0.212 0.212 0.212
O: 0.071 0.432 0.743
O: 0.295 0.837 0.665
O: 0.432 0.743 0.071
O: 0.665 0.295 0.837
O: 0.743 0.071 0.432
O: 0.837 0.665 0.295

The space group is No. 146. The total magnetization is 0.3989 μB/atom. For the energy, the calculation gives -52.21 eV for the cell shown.